[1]
Density functional theory data (PBE) for crystalline Na3TlCo at its relaxed geometry.

Cell lengths 5.7870, 5.7870, 5.7870 Å; angles 90.00, 90.00, 90.00 degrees
With the nearest neighbours (Å) after each atom.
Fractional coordinates of all 5 atoms:
Na (0.5000, 0.0000, 0.0000)  2 Tl 2.89
Co (0.5000, 0.5000, 0.5000)  12 Na 4.09
Na (0.0000, 0.5000, 0.0000)  2 Tl 2.89
Tl (0.0000, 0.0000, 0.0000)  6 Na 2.89
Na (0.0000, 0.0000, 0.5000)  2 Tl 2.89

Computed properties:
* D(E_F): 3.6 states/eV/cell
* DFT total energy: -1.775 eV per atom


[2]
Density functional theory data (PBE) for crystalline NaTl3Co at its relaxed geometry.

Cell lengths 5.4991, 5.4991, 5.4991 Å; angles 90.00, 90.00, 90.00 degrees
With the nearest neighbours (Å) after each atom.
Fractional coordinates of all 5 atoms:
Co (0.5000, 0.5000, 0.5000)  12 Tl 3.89
Tl (0.0000, 0.5000, 0.0000)  2 Na 2.75
Na (0.0000, 0.0000, 0.0000)  6 Tl 2.75
Tl (0.0000, 0.0000, 0.5000)  2 Na 2.75
Tl (0.5000, 0.0000, 0.0000)  2 Na 2.75

Computed properties:
* D(E_F): 20.4 states/eV/cell
* DFT total energy: -2.032 eV per atom


[3]
Density functional theory data (PBE) for crystalline Na2TlCo at its relaxed geometry.

Cell lengths 5.0874, 5.0874, 5.0874 Å; angles 60.00, 60.00, 60.00 degrees
With the nearest neighbours (Å) after each atom.
Fractional coordinates of all 4 atoms:
Na (0.7500, 0.7500, 0.7500)  4 Co 3.12, 4 Tl 3.12
Tl (0.5000, 0.5000, 0.5000)  8 Na 3.12
Co (0.0000, 0.0000, 0.0000)  8 Na 3.12
Na (0.2500, 0.2500, 0.2500)  4 Tl 3.12, 4 Co 3.12

Computed properties:
* D(E_F): 6.5 states/eV/cell
* DFT total energy: -2.459 eV per atom


[4]
Density functional theory data (PBE) for crystalline Na2Tl2Co at its relaxed geometry.

Cell lengths 6.9798, 6.9798, 5.3584 Å; angles 90.00, 90.00, 90.00 degrees
With the nearest neighbours (Å) after each atom.
Fractional coordinates of all 10 atoms:
Co (0.5000, 0.5000, 0.0000)  4 Tl 2.60
Na (0.3279, 0.1721, 0.5000)  2 Tl 3.12, 1 Na 3.40
Na (0.8279, 0.3279, 0.5000)  2 Tl 3.12, 1 Na 3.40
Tl (0.3339, 0.8339, 0.0000)  2 Co 2.60
Tl (0.6661, 0.1661, 0.0000)  2 Co 2.60
Tl (0.8339, 0.6661, 0.0000)  2 Co 2.60
Na (0.1721, 0.6721, 0.5000)  2 Tl 3.12, 1 Na 3.40
Na (0.6721, 0.8279, 0.5000)  2 Tl 3.12, 1 Na 3.40
Co (0.0000, 0.0000, 0.0000)  4 Tl 2.60
Tl (0.1661, 0.3339, 0.0000)  2 Co 2.60

Computed properties:
* D(E_F): 10.3 states/eV/cell
* DFT total energy: -2.637 eV per atom


[5]
Density functional theory data (PBE) for crystalline NaTm2Co at its relaxed geometry.

Cell lengths 3.3014, 3.3014, 9.4521 Å; angles 90.00, 90.00, 90.00 degrees
With the nearest neighbours (Å) after each atom.
Fractional coordinates of all 4 atoms:
Tm (0.0000, 0.0000, 0.8324)  4 Co 2.82
Co (0.5000, 0.5000, 0.0000)  8 Tm 2.82
Tm (0.0000, 0.0000, 0.1676)  4 Co 2.82
Na (0.5000, 0.5000, 0.5000)  4 Na 3.30

Computed properties:
* D(E_F): 3.1 states/eV/cell
* DFT total energy: -4.405 eV per atom


[6]
Density functional theory data (PBE) for crystalline NaTmCo4 at its relaxed geometry.

Cell lengths 4.9977, 4.9977, 4.9977 Å; angles 60.00, 60.00, 60.00 degrees
With the nearest neighbours (Å) after each atom.
Fractional coordinates of all 6 atoms:
Co (0.6248, 0.1256, 0.6248)  6 Co 2.49-2.50
Co (0.6248, 0.6248, 0.1256)  6 Co 2.49-2.50
Co (0.1256, 0.6248, 0.6248)  6 Co 2.49-2.50
Na (0.0000, 0.0000, 0.0000)  12 Co 2.93, 4 Tm 3.06
Co (0.6248, 0.6248, 0.6248)  6 Co 2.49-2.50
Tm (0.2500, 0.2500, 0.2500)  12 Co 2.93, 4 Na 3.06

Computed properties:
* D(E_F): 7.2 states/eV/cell
* DFT total energy: -5.617 eV per atom


- Which value of DFT total energy does entry 6 give?
  -5.617 eV per atom